VASP calculation (PBE-GGA) on Ti2FeSn after structural relaxation.

Cell lengths 3.2721, 3.2721, 6.1537 Å; angles 90.00, 90.00, 90.00 degrees
Space group P4/mmm (No. 123)
Inequivalent atoms, fractional coordinates:
Ti1 0.0000 0.0000 0.2151 x2
Fe1 0.5000 0.5000 0.0000 x1
Sn1 0.5000 0.5000 0.5000 x1

Output
Formation energy from the elements: -0.20 eV per atom
Crystal system: tetragonal

VASP calculation (PBE-GGA) on TiFe3Sn after structural relaxation.

Cell lengths 4.7201, 4.7201, 4.7201 Å; angles 90.00, 90.00, 90.00 degrees
Space group Pm-3m (No. 221)
Inequivalent atoms, fractional coordinates:
Ti1 0.0000 0.0000 0.0000 x1
Fe1 0.0000 0.5000 0.5000 x3
Sn1 0.5000 0.5000 0.5000 x1

Output
Polymorph energy (0 for the lowest one): 38.95 kJ per mole of atoms
Formation energy from the elements: 1.33 eV per atom
Crystal system: cubic

What did the second record say?
VASP calculation (PBE-GGA) on TiFe3Sn after structural relaxation.

Cell lengths 4.7201, 4.7201, 4.7201 Å; angles 90.00, 90.00, 90.00 degrees
Space group Pm-3m (No. 221)
Inequivalent atoms, fractional coordinates:
Ti1 0.0000 0.0000 0.0000 x1
Fe1 0.0000 0.5000 0.5000 x3
Sn1 0.5000 0.5000 0.5000 x1

Output
Polymorph energy (0 for the lowest one): 38.95 kJ per mole of atoms
Formation energy from the elements: 1.33 eV per atom
Crystal system: cubic

Q: Which formula does entry 2 have?
A: TiFe3Sn

Q: What is the formation energy from the elements in the second record?
A: 1.33 eV per atom